# 1
The following is a PBE calculation of a relaxed structure of LaSc3Sn, from the Alexandria database.

```
5
Lattice="5.178 0.000 0.000 0.000 5.178 0.000 0.000 0.000 5.178" Properties=species:S:1:pos:R:3 pbc="T T T"
Sc 0.000 0.000 2.589
Sc 0.000 2.589 0.000
Sc 2.589 0.000 0.000
Sn 2.589 2.589 2.589
La 0.000 0.000 0.000
```

Values from the calculation:
* raw total energy: -4.80 eV per atom
* M_tot: 0.0 μB per formula unit
* ΔH_f (0 K): 0.781 eV per atom


# 2
The following is a PBE calculation of a relaxed structure of NpSi2TcOs, from the Alexandria database.

```
5
Lattice="-3.029 -2.775 -0.735 0.498 -1.560 3.838 -2.017 5.299 0.147" Properties=species:S:1:pos:R:3 pbc="T T T"
Si -2.086 -1.384 1.977
Si -2.461 2.348 1.274
Np 0.000 0.000 0.000
Tc -3.155 0.178 0.482
Os -1.392 0.786 2.769
```

Values from the calculation:
* raw total energy: -9.48 eV per atom
* M_tot: 3.3 μB per formula unit
* ΔE_f (raw): -402 meV/atom


# 3
The following is a PBE calculation of a relaxed structure of NaRe2HPb, from the Alexandria database.

```
5
Lattice="-0.278 0.005 5.080 1.085 -3.136 0.062 4.800 1.667 0.261" Properties=species:S:1:pos:R:3 pbc="T T T"
Na 0.000 0.000 0.000
Re -0.139 0.003 2.540
Pb 2.804 -0.732 2.702
H 0.543 -1.568 0.031
Re 2.400 0.833 0.130
```

Values from the calculation:
* raw total energy: -4.37 eV per atom
* M_tot: 3.7 μB per formula unit


# 4
The following is a PBE calculation of a relaxed structure of Si3OsC, from the Alexandria database.

```
5
Lattice="-3.728 -2.675 0.319 0.401 -1.089 -4.451 2.664 -3.580 1.116" Properties=species:S:1:pos:R:3 pbc="T T T"
Si 1.332 -1.790 0.558
Si 0.201 -0.545 -2.225
Os 0.000 0.000 0.000
Si -1.864 -1.337 0.159
C -0.332 -3.672 -1.508
```

Values from the calculation:
* raw total energy: -5.81 eV per atom
* M_tot: 2.0 μB per formula unit
* ΔE_f (raw): 1534 meV/atom


# 5
The following is a PBE calculation of a relaxed structure of MnCd2Rh, from the Alexandria database.

```
4
Lattice="-2.034 -0.898 -4.031 -4.507 -0.926 -0.148 -2.917 3.051 -1.836" Properties=species:S:1:pos:R:3 pbc="T T T"
Mn -4.729 0.614 -3.007
Cd -2.364 0.307 -1.504
Cd 0.000 0.000 0.000
Rh -7.093 0.920 -4.511
```

Values from the calculation:
* raw total energy: -4.54 eV per atom
* M_tot: 4.0 μB per formula unit
* ΔH_f (0 K): 0.052 eV per atom


# 6
The following is a PBE calculation of a relaxed structure of PmPr2Se2O2, from the Alexandria database.

```
7
Lattice="-3.938 0.980 1.836 1.796 -0.386 4.057 2.933 7.360 -3.043" Properties=species:S:1:pos:R:3 pbc="T T T"
Pm 0.000 0.000 0.000
Se 0.111 5.157 2.886
Pr 1.386 5.703 -0.072
O 0.898 -0.193 2.029
Se 0.680 2.798 -0.035
Pr -0.595 2.253 2.922
O -1.969 0.490 0.918
```

Values from the calculation:
* raw total energy: -6.69 eV per atom
* M_tot: 0.0 μB per formula unit
* ΔE_f (raw): -2237 meV/atom


# 7
The following is a PBE calculation of a relaxed structure of MnSi2SN, from the Alexandria database.

```
10
Lattice="3.694 0.000 -0.002 0.000 2.896 0.000 -0.745 0.000 12.131" Properties=species:S:1:pos:R:3 pbc="T T T"
Mn 1.966 0.000 8.881
Mn 2.338 1.448 2.815
S 2.212 1.448 10.531
S 2.585 0.000 4.465
N 0.510 1.448 6.356
Si 1.491 0.000 6.457
Si 0.070 1.448 8.133
Si 1.864 1.448 0.391
N 0.883 0.000 0.291
Si 0.442 0.000 2.068
```

Values from the calculation:
* raw total energy: -6.73 eV per atom
* M_tot: 0.2 μB per formula unit
* ΔE_f (raw): -233 meV/atom


# 8
The following is a PBE calculation of a relaxed structure of Be5Ni6P, from the Alexandria database.

```
12
Lattice="3.574 -0.004 -1.002 -2.666 5.250 -2.651 -0.129 -0.691 6.419" Properties=species:S:1:pos:R:3 pbc="T T T"
Be 1.218 0.337 4.346
Ni -1.203 3.418 2.575
Ni 1.005 2.437 3.580
Ni 0.165 4.406 0.575
Be -0.440 4.218 -1.579
Ni 1.981 1.138 0.191
Be -1.823 3.276 0.363
Ni 0.614 0.150 2.191
Be 0.389 2.278 1.383
Be 2.602 1.280 2.403
P 0.000 0.000 0.000
Ni -0.227 2.118 -0.814
```

Values from the calculation:
* raw total energy: -5.34 eV per atom
* M_tot: 0.0 μB per formula unit
* ΔH_f (0 K): -0.449 eV per atom